1.
The following is a GGA-PBE calculation of crystalline YScTi4 at its relaxed geometry, from Alexandria via LeMat-Bulk.

**DOS at the Fermi energy**: 1.9286 states/eV/atom
**Energy relative to the elements**: 0.234 eV/atom
**Electronic total energy**: -7.162 eV per atom
**Space group**: F-43m

a = 5.7067 Å, b = 5.7067 Å, c = 5.7067 Å
α = 60.00°, β = 60.00°, γ = 60.00°
Closest atoms and distances in Å follow each position.
Atoms (fractional coordinates):
Ti 0.6261 0.6261 0.1217  6 Ti 2.83-2.88
Ti 0.6261 0.6261 0.6261  6 Ti 2.83-2.88
Ti 0.1217 0.6261 0.6261  6 Ti 2.83-2.88
Ti 0.6261 0.1217 0.6261  6 Ti 2.83-2.88
Y 0.2500 0.2500 0.2500  12 Ti 3.35, 4 Sc 3.49
Sc 0.0000 0.0000 0.0000  12 Ti 3.34, 4 Y 3.49

=====

2.
The following is a GGA-PBE calculation of crystalline YScTi3 at its relaxed geometry, from Alexandria via LeMat-Bulk.

**DOS at the Fermi energy**: 2.1026 states/eV/atom
**Energy relative to the elements**: 0.871 eV/atom
**Electronic total energy**: -6.425 eV per atom
**Distance to the lowest polymorph of the same formula**: 0 meV/atom
**Space group**: Pm-3m

a = 4.8484 Å, b = 4.8484 Å, c = 4.8484 Å
α = 90.00°, β = 90.00°, γ = 90.00°
Closest atoms and distances in Å follow each position.
Atoms (fractional coordinates):
Y 0.5000 0.5000 0.5000  12 Ti 3.43
Sc 0.0000 0.0000 0.0000  6 Ti 2.42
Ti 0.0000 0.5000 0.0000  2 Sc 2.42
Ti 0.0000 0.0000 0.5000  2 Sc 2.42
Ti 0.5000 0.0000 0.0000  2 Sc 2.42